The following is a PBE+U calculation of a geometry-optimized TlCrO4 structure, from the Alexandria database.

extended XYZ file:
```
48
Lattice="15.563 0.000 0.000 0.000 5.760 0.000 0.000 0.000 8.987" Properties=species:S:1:pos:R:3 pbc="T T T"
Tl 1.768 1.440 1.535
Tl 1.955 4.320 5.033
Tl 5.826 1.440 0.539
Tl 6.014 4.320 6.029
Tl 9.550 1.440 2.958
Tl 9.737 4.320 8.447
Tl 13.608 1.440 3.954
Tl 13.795 4.320 7.452
Cr 0.387 1.440 7.009
Cr 3.394 4.320 8.805
Cr 4.388 1.440 4.312
Cr 7.395 4.320 2.515
Cr 8.168 1.440 6.472
Cr 11.175 4.320 4.675
Cr 12.170 1.440 0.182
Cr 15.177 4.320 1.978
O 0.442 1.440 8.669
O 0.432 2.942 2.557
O 0.432 5.698 2.557
O 1.867 1.440 6.361
O 2.205 4.320 7.711
O 2.898 1.440 3.551
O 3.278 2.925 0.777
O 3.278 5.715 0.777
O 4.504 0.045 5.270
O 4.504 2.835 5.270
O 4.884 4.320 8.044
O 5.576 1.440 3.218
O 5.915 4.320 1.868
O 7.350 0.062 7.050
O 7.350 2.818 7.050
O 7.340 4.320 4.175
O 8.223 1.440 4.812
O 8.213 2.942 1.937
O 8.213 5.698 1.937
O 9.648 1.440 7.119
O 9.987 4.320 5.769
O 10.679 1.440 0.943
O 11.060 2.925 3.716
O 11.060 5.715 3.716
O 12.285 0.045 8.210
O 12.285 2.835 8.210
O 12.665 4.320 5.436
O 13.358 1.440 1.275
O 13.697 4.320 2.626
O 15.131 0.062 6.430
O 15.131 2.818 6.430
O 15.121 4.320 0.318
```

Summary:
The value obtained for the raw total energy is -287.9 eV for the cell shown. As for the density of states at the Fermi level: 0.0 states/eV/cell.

The following is a PBE+U calculation of a geometry-optimized Tl2CrO2 structure, from the Alexandria database.

extended XYZ file:
```
5
Lattice="-2.875 2.875 3.994 2.875 -2.875 3.994 2.875 2.875 -3.994" Properties=species:S:1:pos:R:3 pbc="T T T"
Tl 2.875 0.000 1.997
Tl 0.000 2.875 1.997
Cr 0.000 0.000 0.000
O 0.000 0.000 1.728
O 0.000 0.000 6.259
```

Summary:
The value obtained for the raw total energy is -24.5 eV for the cell shown. As for the density of states at the Fermi level: 0.7 states/eV/cell.

The following is a PBE+U calculation of a geometry-optimized TlCr4O8 structure, from the Alexandria database.

extended XYZ file:
```
13
Lattice="0.000 4.342 4.342 4.342 0.000 4.342 4.342 4.342 0.000" Properties=species:S:1:pos:R:3 pbc="T T T"
Tl 0.000 0.000 0.000
Cr 5.392 3.292 3.292
Cr 3.292 5.392 3.292
Cr 3.292 3.292 5.392
Cr 5.392 5.392 5.392
O 3.430 3.430 3.430
O 5.255 5.255 3.430
O 5.255 3.430 5.255
O 7.438 5.589 5.589
O 3.430 5.255 5.255
O 5.589 7.438 5.589
O 5.589 5.589 7.438
O 7.438 7.438 7.438
```

Summary:
The value obtained for the raw total energy is -92.4 eV for the cell shown. As for the density of states at the Fermi level: 7.9 states/eV/cell.

The following is a PBE+U calculation of a geometry-optimized TlCrO4 structure, from the Alexandria database.

extended XYZ file:
```
12
Lattice="5.472 0.000 0.000 0.000 6.820 0.000 0.000 0.000 4.708" Properties=species:S:1:pos:R:3 pbc="T T T"
Tl 1.368 1.705 0.000
Tl 4.104 5.115 0.000
Cr 1.368 5.115 2.354
Cr 4.104 1.705 2.354
O 0.410 4.172 1.346
O 0.410 6.058 3.362
O 2.326 4.172 3.362
O 2.326 6.058 1.346
O 3.147 0.762 3.362
O 3.147 2.648 1.346
O 5.062 0.762 1.346
O 5.062 2.648 3.362
```

Summary:
The value obtained for the raw total energy is -70.6 eV for the cell shown. As for the density of states at the Fermi level: 3.7 states/eV/cell.

no.,total magnetization (μB per cell)
1,0.00
2,2.03
3,11.00
4,0.00